Compound: CeSmDy
Source: Alexandria
Functional: PBE
Structure: relaxed

It has space group C2/m (No. 12), with a = 12.991 Å, b = 3.454 Å, c = 9.739 Å, α = 90.00°, β = 120.74° and γ = 90.00°. The distinct sites, in fractional coordinates, are Ce at (0.116, 0.000, 0.010), Sm at (0.113, 0.500, 0.341) and Dy at (0.131, 0.000, 0.678).

Its energy of formation from the pure elements is 95 meV/atom. As for the crystal system: monoclinic. The calculation puts the total energy at -4.991 eV/atom. The excess energy over the best structure of this formula in the dataset comes out at 0.024 eV per atom.


Compound: CaCe2YBi4
Source: Alexandria
Functional: PBE
Structure: relaxed

It has space group P2/m (No. 10), with a = 7.837 Å, b = 4.590 Å, c = 7.969 Å, α = 90.00°, β = 109.63° and γ = 90.00°. The distinct sites, in fractional coordinates, are Ca at (0.000, 0.000, 0.000), Ce at (0.500, 0.000, 0.500), Ce at (0.500, 0.500, 0.000), Y at (0.000, 0.500, 0.500), Bi at (0.248, 0.000, 0.746) and Bi at (0.253, 0.500, 0.255).

Its energy of formation from the pure elements is -817 meV/atom. As for the crystal system: monoclinic. The calculation puts the total energy at -5.299 eV/atom.


Compound: CaTa2Ga2
Source: Alexandria
Functional: PBE
Structure: relaxed

It has space group P4/mbm (No. 127), with a = 8.131 Å, b = 8.131 Å, c = 2.955 Å, α = 90.00°, β = 90.00° and γ = 90.00°. The distinct sites, in fractional coordinates, are Ca at (0.000, 0.000, 0.000), Ta at (0.120, 0.380, 0.500) and Ga at (0.172, 0.672, 0.000).

Its energy of formation from the pure elements is -23 meV/atom. As for the crystal system: tetragonal. The calculation puts the total energy at -6.375 eV/atom.


Compound: Pu2TlS5
Source: Alexandria
Functional: PBE
Structure: relaxed

It has space group Cmcm (No. 63), with a = 5.277 Å, b = 12.920 Å, c = 13.667 Å, α = 90.00°, β = 90.00° and γ = 90.00°. The distinct sites, in fractional coordinates, are Pu at (0.000, 0.144, 0.057), Tl at (0.000, 0.210, 0.750), S at (0.000, 0.048, 0.611), S at (0.000, 0.220, 0.250) and S at (0.000, 0.326, 0.540).

For the energy relative to the elements, uncorrected, the calculation gives -1.029 eV/atom. As for the crystal system: orthorhombic. The calculation puts the total energy at -7.487 eV/atom.


Compound: CeEuSiHg
Source: Alexandria
Functional: PBE
Structure: relaxed

It has space group F-43m (No. 216), with a = 7.501 Å, b = 7.501 Å, c = 7.501 Å, α = 90.00°, β = 90.00° and γ = 90.00°. The distinct sites, in fractional coordinates, are Ce at (0.000, 0.000, 0.000), Eu at (0.000, 0.000, 0.500), Si at (0.250, 0.250, 0.750) and Hg at (0.250, 0.250, 0.250).

For the energy relative to the elements, uncorrected, the calculation gives -0.384 eV/atom. As for the crystal system: cubic. The calculation puts the total energy at -5.868 eV/atom.


Compound: CaPr2Dy2
Source: Alexandria
Functional: PBE
Structure: relaxed

It has space group Cmmm (No. 65), with a = 5.614 Å, b = 17.745 Å, c = 3.591 Å, α = 90.00°, β = 90.00° and γ = 90.00°. The distinct sites, in fractional coordinates, are Ca at (0.000, 0.000, 0.000), Pr at (0.000, 0.379, 0.500) and Dy at (0.000, 0.201, 0.000).

Its energy of formation from the pure elements is 37 meV/atom. As for the crystal system: orthorhombic. The calculation puts the total energy at -4.116 eV/atom.


Compound: Dy2Ga6Rh
Source: Alexandria
Functional: PBE
Structure: relaxed

It has space group P-3m1 (No. 164), with a = 5.8217 Å, b = 5.8217 Å, c = 5.7117 Å, α = 90.00°, β = 90.00° and γ = 120.00°. The distinct sites, in fractional coordinates, are Dy at (0.3333, 0.6667, 0.1506), Ga at (0.1760, 0.3520, 0.6806) and Rh at (0.0000, 0.0000, 0.0000).

Its energy of formation from the pure elements is -594 meV/atom. As for the crystal system: trigonal. The calculation puts the total energy at -4.452 eV/atom.


Compound: Ce3Pu3Hg5
Source: Alexandria
Functional: PBE
Structure: relaxed

It has space group P-62m (No. 189), with a = 10.0941 Å, b = 10.0941 Å, c = 3.4193 Å, α = 90.00°, β = 90.00° and γ = 120.00°. The distinct sites, in fractional coordinates, are Ce at (0.0000, 0.3833, 0.0000), Pu at (0.0000, 0.1738, 0.5000), Hg at (0.0000, 0.6469, 0.5000) and Hg at (0.3333, 0.6667, 0.5000).

Its energy of formation from the pure elements is 80 meV/atom. As for the crystal system: hexagonal. The calculation puts the total energy at -5.584 eV/atom.


Compound: LaTlCl2
Source: Alexandria
Functional: PBE
Structure: relaxed

It has space group P4/mmm (No. 123), with a = 4.824 Å, b = 4.824 Å, c = 4.471 Å, α = 90.00°, β = 90.00° and γ = 90.00°. The distinct sites, in fractional coordinates, are La at (0.000, 0.000, 0.000), Tl at (0.500, 0.500, 0.000) and Cl at (0.000, 0.500, 0.500).

For the energy relative to the elements, uncorrected, the calculation gives -1.181 eV/atom. As for the crystal system: tetragonal. The calculation puts the total energy at -3.928 eV/atom. The excess energy over the best structure of this formula in the dataset comes out at 0.245 eV per atom.


Compound: Ga2HgAu
Source: Alexandria
Functional: PBE
Structure: relaxed

It has space group P4/mmm (No. 123), with a = 3.246 Å, b = 3.246 Å, c = 7.932 Å, α = 90.00°, β = 90.00° and γ = 90.00°. The distinct sites, in fractional coordinates, are Ga at (0.000, 0.000, 0.216), Hg at (0.500, 0.500, 0.500) and Au at (0.500, 0.500, 0.000).

Its energy of formation from the pure elements is -23 meV/atom. As for the crystal system: tetragonal. The calculation puts the total energy at -2.431 eV/atom.